Record 1
First-principles (PBE) data for a geometry-optimized CoReB2Mo structure, as listed in Alexandria via LeMat-Bulk.

a = 4.0533 Å, b = 4.0533 Å, c = 4.8501 Å
α = 90.00°, β = 90.00°, γ = 90.00°
Space group P4/mmm (No. 123)
Asymmetric unit:
Co1 0.0000 0.0000 0.0000 x1
Re1 0.5000 0.5000 0.0000 x1
B1 0.0000 0.5000 0.5000 x2
Mo1 0.5000 0.5000 0.5000 x1

Properties
Final energy (eV/atom): -6.7688
Formation enthalpy at 0 K (eV per atom): 1.98
Calculated volume (Å³ per atom): 15.94
Size of the total moment (μB per cell): 2.83



Record 2
First-principles (PBE) data for a geometry-optimized CoB2MoRu structure, as listed in Alexandria via LeMat-Bulk.

a = 4.0729 Å, b = 4.0729 Å, c = 4.7385 Å
α = 90.00°, β = 90.00°, γ = 90.00°
Space group P4/mmm (No. 123)
Asymmetric unit:
Co1 0.0000 0.0000 0.0000 x1
B1 0.0000 0.5000 0.5000 x2
Mo1 0.5000 0.5000 0.5000 x1
Ru1 0.5000 0.5000 0.0000 x1

Properties
Final energy (eV/atom): -6.3027
Formation enthalpy at 0 K (eV per atom): 1.81
Calculated volume (Å³ per atom): 15.72
Size of the total moment (μB per cell): 2.48



Record 3
First-principles (PBE) data for a geometry-optimized Co2BMoS structure, as listed in Alexandria via LeMat-Bulk.

a = 3.9250 Å, b = 3.9250 Å, c = 4.5114 Å
α = 90.00°, β = 90.00°, γ = 90.00°
Space group P4/mmm (No. 123)
Asymmetric unit:
Co1 0.0000 0.5000 0.0000 x2
B1 0.0000 0.0000 0.5000 x1
Mo1 0.5000 0.5000 0.5000 x1
S1 0.5000 0.5000 0.0000 x1

Properties
Final energy (eV/atom): -6.2399
E_form (uncorrected) (eV/atom): 0.93
Calculated volume (Å³ per atom): 13.90
Size of the total moment (μB per cell): 1.06



Record 4
First-principles (PBE) data for a geometry-optimized CoB2TeMo structure, as listed in Alexandria via LeMat-Bulk.

a = 4.0878 Å, b = 4.0878 Å, c = 5.4793 Å
α = 90.00°, β = 90.00°, γ = 90.00°
Space group P4/mmm (No. 123)
Asymmetric unit:
Co1 0.0000 0.0000 0.0000 x1
B1 0.0000 0.5000 0.5000 x2
Te1 0.5000 0.5000 0.0000 x1
Mo1 0.5000 0.5000 0.5000 x1

Properties
Final energy (eV/atom): -5.4891
E_form (uncorrected) (eV/atom): 1.40
Calculated volume (Å³ per atom): 18.31
Size of the total moment (μB per cell): 2.22



Record 5
First-principles (PBE) data for a geometry-optimized Th2Co3B12Mo structure, as listed in Alexandria via LeMat-Bulk.

a = 5.4628 Å, b = 5.4628 Å, c = 23.2506 Å
α = 90.00°, β = 90.00°, γ = 120.00°
Space group R-3m (No. 166, hexagonal axes)
Asymmetric unit:
Th1 0.0000 0.0000 0.1388 x6
Co1 0.0000 0.5000 0.0000 x9
B1 0.0832 0.5416 0.0877 x18
B2 0.1054 0.2108 0.7337 x18
Mo1 0.0000 0.0000 0.5000 x3

Properties
Final energy (eV/atom): -6.9519
Formation enthalpy at 0 K (eV per atom): 0.11
Calculated volume (Å³ per atom): 11.13
Size of the total moment (μB per cell): 0.71



Record 6
First-principles (PBE) data for a geometry-optimized CoBMo2W structure, as listed in Alexandria via LeMat-Bulk.

a = 4.2357 Å, b = 4.2357 Å, c = 3.7283 Å
α = 90.00°, β = 90.00°, γ = 90.00°
Space group P4/mmm (No. 123)
Asymmetric unit:
Co1 0.0000 0.0000 0.0000 x1
B1 0.0000 0.0000 0.5000 x1
Mo1 0.0000 0.5000 0.5000 x2
W1 0.5000 0.5000 0.0000 x1

Properties
Final energy (eV/atom): -9.5588
Formation enthalpy at 0 K (eV per atom): 0.12
Calculated volume (Å³ per atom): 13.38
Size of the total moment (μB per cell): 0.46



Record 7
First-principles (PBE) data for a geometry-optimized CoB2N structure, as listed in Alexandria via LeMat-Bulk.

a = 4.3712 Å, b = 4.3712 Å, c = 6.7413 Å
α = 90.00°, β = 90.00°, γ = 90.00°
Space group I-42d (No. 122)
Asymmetric unit:
Co1 0.0000 0.0000 0.0000 x4
B1 0.1719 0.2500 0.6250 x8
N1 0.0000 0.0000 0.5000 x4

Properties
Final energy (eV/atom): -7.0312
E_form (uncorrected) (eV/atom): 0.17
Calculated volume (Å³ per atom): 8.05
Size of the total moment (μB per cell): 0.00



Record 8
First-principles (PBE) data for a geometry-optimized CoBN2 structure, as listed in Alexandria via LeMat-Bulk.

a = 2.9834 Å, b = 2.9834 Å, c = 13.9820 Å
α = 90.00°, β = 90.00°, γ = 120.00°
Space group R-3m (No. 166, hexagonal axes)
Asymmetric unit:
Co1 0.0000 0.0000 0.0000 x3
B1 0.0000 0.0000 0.5000 x3
N1 0.0000 0.0000 0.4038 x6

Properties
Final energy (eV/atom): -7.6116
E_form (uncorrected) (eV/atom): 0.00
Calculated volume (Å³ per atom): 8.98
Size of the total moment (μB per cell): 0.00



Record 9
First-principles (PBE) data for a geometry-optimized CoB3N structure, as listed in Alexandria via LeMat-Bulk.

a = 3.7656 Å, b = 3.7656 Å, c = 3.7656 Å
α = 90.00°, β = 90.00°, γ = 90.00°
Space group Pm-3m (No. 221)
Asymmetric unit:
Co1 0.0000 0.0000 0.0000 x1
B1 0.0000 0.0000 0.5000 x3
N1 0.5000 0.5000 0.5000 x1

Properties
Final energy (eV/atom): -5.3033
E_form (uncorrected) (eV/atom): 1.79
Calculated volume (Å³ per atom): 10.68
Size of the total moment (μB per cell): 2.94
Polymorph energy (0 for the lowest one) (eV/f.u.): 1.69



Record 10
First-principles (PBE) data for a geometry-optimized Co3BN structure, as listed in Alexandria via LeMat-Bulk.

a = 3.6281 Å, b = 3.6281 Å, c = 3.6281 Å
α = 90.00°, β = 90.00°, γ = 90.00°
Space group Pm-3m (No. 221)
Asymmetric unit:
Co1 0.0000 0.0000 0.5000 x3
B1 0.5000 0.5000 0.5000 x1
N1 0.0000 0.0000 0.0000 x1

Properties
Final energy (eV/atom): -6.8566
E_form (uncorrected) (eV/atom): 0.41
Calculated volume (Å³ per atom): 9.55
Size of the total moment (μB per cell): 2.63
Polymorph energy (0 for the lowest one) (eV/f.u.): 0.00



Record 11
First-principles (PBE) data for a geometry-optimized Co2BN structure, as listed in Alexandria via LeMat-Bulk.

a = 5.0535 Å, b = 5.0535 Å, c = 5.0535 Å
α = 90.00°, β = 90.00°, γ = 90.00°
Space group Fm-3m (No. 225)
Asymmetric unit:
Co1 0.2500 0.2500 0.2500 x8
B1 0.0000 0.0000 0.0000 x4
N1 0.0000 0.0000 0.5000 x4

Properties
Final energy (eV/atom): -6.5757
E_form (uncorrected) (eV/atom): 0.73
Calculated volume (Å³ per atom): 8.07
Size of the total moment (μB per cell): 6.29
Polymorph energy (0 for the lowest one) (eV/f.u.): 1.85



Record 12
First-principles (PBE) data for a geometry-optimized Co2BN structure, as listed in Alexandria via LeMat-Bulk.

a = 4.3529 Å, b = 4.3529 Å, c = 8.5449 Å
α = 90.00°, β = 90.00°, γ = 90.00°
Space group I-42d (No. 122)
Asymmetric unit:
Co1 0.2272 0.2500 0.1250 x8
B1 0.0000 0.0000 0.5000 x4
N1 0.0000 0.0000 0.0000 x4

Properties
Final energy (eV/atom): -7.0381
E_form (uncorrected) (eV/atom): 0.27
Calculated volume (Å³ per atom): 10.12
Size of the total moment (μB per cell): 0.00
Polymorph energy (0 for the lowest one) (eV/f.u.): 0.00



Record 13
First-principles (PBE) data for a geometry-optimized CoBN2 structure, as listed in Alexandria via LeMat-Bulk.

a = 4.1008 Å, b = 4.1008 Å, c = 7.2489 Å
α = 90.00°, β = 90.00°, γ = 90.00°
Space group I-42d (No. 122)
Asymmetric unit:
Co1 0.0000 0.0000 0.0000 x4
B1 0.0000 0.0000 0.5000 x4
N1 0.1852 0.2500 0.6250 x8

Properties
Final energy (eV/atom): -7.8829
E_form (uncorrected) (eV/atom): -0.27
Calculated volume (Å³ per atom): 7.62
Size of the total moment (μB per cell): 0.00



Record 14
First-principles (PBE) data for a geometry-optimized CoB3N structure, as listed in Alexandria via LeMat-Bulk.

a = 3.3068 Å, b = 3.3068 Å, c = 3.3068 Å
α = 90.00°, β = 90.00°, γ = 90.00°
Space group Pm-3m (No. 221)
Asymmetric unit:
Co1 0.0000 0.0000 0.0000 x1
B1 0.0000 0.5000 0.5000 x3
N1 0.5000 0.5000 0.5000 x1

Properties
Final energy (eV/atom): -5.6405
E_form (uncorrected) (eV/atom): 1.45
Calculated volume (Å³ per atom): 7.23
Size of the total moment (μB per cell): 0.00
Polymorph energy (0 for the lowest one) (eV/f.u.): 0.00